No. 1
# CaZn4Pd8

A relaxed structure of CaZn4Pd8 (GGA-PBE, Alexandria).

Cell lengths 5.282, 6.811, 6.811 Å; angles 81.35, 67.18, 67.18 degrees
Positions (direct):
Pd (0.000, 0.344, 0.656)
Pd (0.722, 0.778, 0.778)
Pd (0.000, 0.656, 0.344)
Pd (0.656, 0.344, 0.344)
Pd (0.500, 0.222, 0.778)
Pd (0.500, 0.778, 0.222)
Pd (0.278, 0.222, 0.222)
Pd (0.344, 0.656, 0.656)
Zn (0.500, 0.500, 0.000)
Zn (0.000, 0.500, 0.000)
Zn (0.500, 0.000, 0.500)
Zn (0.000, 0.000, 0.500)
Ca (0.000, 0.000, 0.000)

As for the space-group type: I4/mmm. For the magnetization, the calculation gives 0.0 μB/cell. The value obtained for the total energy is -4.2391 eV/atom. The formation energy comes out at -0.50 eV/atom. The calculation puts the density of states at the Fermi level at 4.742 states/eV/cell.

---

No. 2
# CaZn2Pd2

A relaxed structure of CaZn2Pd2 (GGA-PBE, Alexandria).

Cell lengths 4.159, 4.159, 11.403 Å; angles 100.51, 100.51, 90.00 degrees
Positions (direct):
Pd (0.750, 0.250, 0.500)
Pd (0.250, 0.750, 0.500)
Pd (0.931, 0.931, 0.863)
Pd (0.069, 0.069, 0.137)
Zn (0.183, 0.183, 0.365)
Zn (0.500, 0.000, 0.000)
Zn (0.000, 0.500, 0.000)
Zn (0.817, 0.817, 0.635)
Ca (0.370, 0.370, 0.739)
Ca (0.630, 0.630, 0.261)

As for the space-group type: I4/mmm. For the magnetization, the calculation gives 0.0 μB/cell. The value obtained for the total energy is -3.5636 eV/atom. For the energy relative to the lowest polymorph listed for this composition, the calculation gives 0.000 eV/atom. The formation energy comes out at -0.58 eV/atom. The calculation puts the density of states at the Fermi level at 4.024 states/eV/cell.